IrRu2PtRh4 | PBE-GGA | optimized geometry

abc: 5.804 5.804 5.804
angles: 132.20 123.73 76.88
Atoms (fractional coordinates):
Ir 0.000 0.000 0.000
Ru 0.246 0.500 0.746
Ru 0.754 0.500 0.254
Pt 0.500 0.000 0.500
Rh 0.125 0.493 0.123
Rh 0.370 0.002 0.877
Rh 0.630 0.507 0.632
Rh 0.875 0.998 0.368

Symmetry: I222 (23)

---

Ir2Ru4PtRh | PBE-GGA | optimized geometry

abc: 5.957 3.481 6.768
angles: 90.00 107.75 90.00
Atoms (fractional coordinates):
Ir 0.000 0.000 0.000
Ir 0.500 0.500 0.000
Ru 0.242 0.500 0.228
Ru 0.252 0.000 0.768
Ru 0.748 0.000 0.232
Ru 0.758 0.500 0.772
Pt 0.500 0.000 0.500
Rh 0.000 0.500 0.500

Symmetry: P2/m (10)

---

SnIrPt2Rh | PBE-GGA | optimized geometry

abc: 4.842 4.842 4.939
angles: 90.00 90.00 90.00
Atoms (fractional coordinates):
Sn 0.000 0.000 0.000
Ir 0.000 0.000 0.500
Pt 0.000 0.500 0.500
Pt 0.500 0.000 0.500
Rh 0.500 0.500 0.000

Symmetry: P4/mmm (123)

---

TcIrPtRh3 | PBE-GGA | optimized geometry

abc: 6.129 6.129 7.756
angles: 90.00 90.00 143.34
Atoms (fractional coordinates):
Tc 0.000 0.000 0.000
Tc 0.000 0.000 0.500
Ir 0.499 0.501 0.750
Ir 0.501 0.499 0.250
Pt 0.165 0.835 0.750
Pt 0.835 0.165 0.250
Rh 0.161 0.839 0.250
Rh 0.340 0.660 0.501
Rh 0.340 0.660 0.999
Rh 0.660 0.340 0.001
Rh 0.660 0.340 0.499
Rh 0.839 0.161 0.750

Symmetry: Cmcm (63)

---

TcIrPtRh | PBE-GGA | optimized geometry

abc: 2.738 3.880 5.520
angles: 90.00 90.00 90.00
Atoms (fractional coordinates):
Tc 0.000 0.000 0.000
Ir 0.500 0.500 0.234
Pt 0.000 0.000 0.498
Rh 0.500 0.500 0.755

Symmetry: Pmm2 (25)

---

TcIr2PtRh5 | PBE-GGA | optimized geometry

abc: 8.769 8.769 8.769
angles: 138.73 138.73 59.79
Atoms (fractional coordinates):
Tc 0.250 0.250 0.000
Tc 0.750 0.750 0.000
Ir 0.129 0.629 0.758
Ir 0.371 0.129 0.500
Ir 0.629 0.871 0.500
Ir 0.871 0.371 0.242
Pt 0.250 0.750 0.500
Pt 0.750 0.250 0.500
Rh 0.000 0.000 0.000
Rh 0.096 0.114 0.500
Rh 0.114 0.614 0.018
Rh 0.386 0.404 0.500
Rh 0.404 0.904 0.018
Rh 0.500 0.500 0.000
Rh 0.596 0.096 0.982
Rh 0.614 0.596 0.500
Rh 0.886 0.386 0.982
Rh 0.904 0.886 0.500

Symmetry: I4/mcm (140)

---

ThIrPtRh | PBE-GGA | optimized geometry

abc: 4.094 4.188 4.234
angles: 90.00 90.00 90.00
Atoms (fractional coordinates):
Th 0.000 0.000 0.000
Ir 0.500 0.000 0.500
Pt 0.000 0.500 0.500
Rh 0.500 0.500 0.000

Symmetry: Pmmm (47)

---

Th6Ir3PtRh2 | PBE-GGA | optimized geometry

abc: 9.244 9.244 8.278
angles: 102.87 102.87 25.83
Atoms (fractional coordinates):
Th 0.000 0.000 0.243
Th 0.000 0.000 0.757
Th 0.330 0.330 0.416
Th 0.333 0.333 0.915
Th 0.667 0.667 0.085
Th 0.670 0.670 0.584
Ir 0.165 0.165 0.334
Ir 0.500 0.500 0.000
Ir 0.835 0.835 0.666
Pt 0.500 0.500 0.500
Rh 0.167 0.167 0.833
Rh 0.833 0.833 0.167

Symmetry: C2/m (12)

---

Values of D(E_F), in order: 11.220; 13.272; 8.586; 5.483; 3.588; 15.702; 3.792; 5.410, all in states/eV/f.u..
Values of formation energy from the elements, in order: 1.37; 7.80; 6.17; -0.65; -0.51; 4.63; -3.24; -12.07, all in eV per formula unit.